! RbCa2VF8, optimized geometry, DFT PBE+U; values from VASP
&SYSTEM
  ibrav = 0, nat = 12, ntyp = 4
/
ATOMIC_SPECIES
F 19.00 F.upf
Ca 40.08 Ca.upf
V 50.94 V.upf
Rb 85.47 Rb.upf
CELL_PARAMETERS angstrom
5.1943 0.0434 0.0132
0.0815 5.2079 0.0374
0.0766 0.0797 7.3763
ATOMIC_POSITIONS angstrom
F 3.8172 3.9547 7.3985
F 3.2574 3.7652 3.6944
F 4.2911 1.1318 1.3812
F 4.3921 1.2310 6.0174
F 1.0614 4.1992 6.0456
F 1.5352 1.3763 0.0283
F 0.9604 4.0999 1.4094
F 2.0950 1.5658 3.7324
Ca 2.6937 2.6826 5.5921
Ca 2.6587 2.6483 1.8346
V 0.0000 0.0000 0.0000
Rb 0.0383 0.0398 3.6881
! Electronic total energy ... -5.63 eV/atom